## HfCoNiB (PBE-GGA)

Data for HfCoNiB after structural relaxation.

The value obtained for the offset from the most stable computed form is 11 meV/atom.

The structure belongs to space group F-43m (No. 216); the cell edges are 5.770, 5.770 and 5.770 Å and the angles 90.00°, 90.00° and 90.00°. The asymmetric unit holds Hf at (0.000, 0.000, 0.000), Co at (0.000, 0.000, 0.500), Ni at (0.250, 0.250, 0.750) and B at (0.250, 0.250, 0.250).